LaMgH2: optimized geometry, PBE.

Properties
* space group: I-42d
* energy above the most stable polymorph in this dataset: 0.000 eV per atom

a = 4.9638 Å, b = 4.9638 Å, c = 6.5298 Å
α = 67.66°, β = 67.66°, γ = 90.00°
Fractional coordinates of all 8 atoms:
H  0.5875  0.1250  0.2500
H  0.1625  0.6250  0.2500
H  0.3750  0.4125  0.7500
H  0.8750  0.8375  0.7500
Mg  0.5000  0.5000  0.0000
Mg  0.2500  0.7500  0.5000
La  0.0000  0.0000  0.0000
La  0.7500  0.2500  0.5000